Sr2CaTlO4: optimized geometry, PBE.

a b c (Å): 6.2150 3.6285 6.2900
angles (deg): 90.00 109.93 90.00
Closest atoms and distances in Å follow each position.
Positions (direct):
Sr 0.0000 0.0000 0.0000  6 O 2.60-2.62
Sr 0.0000 0.5000 0.5000  6 O 2.50-2.52
Ca 0.5000 0.0000 0.5000  6 O 2.50
Tl 0.5000 0.5000 0.0000  6 O 2.58-2.62
O 0.2501 0.0000 0.7379  1 Ca 2.50, 3 Sr 2.52-2.62, 2 Tl 2.58
O 0.2537 0.5000 0.2654  3 Sr 2.50-2.60, 2 Ca 2.50, 1 Tl 2.62
O 0.7463 0.5000 0.7346  3 Sr 2.50-2.60, 2 Ca 2.50, 1 Tl 2.62
O 0.7499 0.0000 0.2621  1 Ca 2.50, 3 Sr 2.52-2.62, 2 Tl 2.58

**Raw total energy**: -45.105 eV per cell